The following is a PBE calculation of a relaxed structure of Hg2BrF2, from Alexandria via LeMat-Bulk.

Calculated values
The value obtained for the final energy is -10.576 eV per cell. For the density of states at the Fermi level, the calculation gives 0.13 states/eV/atom. As for the raw formation energy: -0.9113 eV per atom. As for the space-group type: P-1. As for the relative energy among the computed polymorphs: 123 meV per atom.

abc: 4.1781 4.1994 5.8507
angles: 103.12 105.52 93.45
Fractional coordinates of all 5 atoms:
F: 0.7619 0.2383 0.0027
F: 0.2381 0.7617 0.9974
Hg: 0.8533 0.8319 0.2482
Hg: 0.1467 0.1681 0.7518
Br: 0.5000 0.5000 0.5000



The following is a PBE calculation of a relaxed structure of Hg2BrF, from Alexandria via LeMat-Bulk.

Calculated values
The value obtained for the final energy is -5.510 eV per cell. For the density of states at the Fermi level, the calculation gives 0.57 states/eV/atom. As for the raw formation energy: -0.3405 eV per atom. As for the space-group type: Fm-3m. As for the relative energy among the computed polymorphs: 441 meV per atom.

abc: 4.9979 4.9979 4.9979
angles: 60.00 60.00 60.00
Fractional coordinates of all 4 atoms:
Br: 0.5000 0.5000 0.5000
Hg: 0.7500 0.7500 0.7500
Hg: 0.2500 0.2500 0.2500
F: 0.0000 0.0000 0.0000



The following is a PBE calculation of a relaxed structure of Hg4Br3F2, from Alexandria via LeMat-Bulk.

Calculated values
The value obtained for the final energy is -15.626 eV per cell. For the density of states at the Fermi level, the calculation gives 0.41 states/eV/atom. As for the raw formation energy: -0.6286 eV per atom. As for the space-group type: C2/m.

abc: 4.0891 7.0693 9.2896
angles: 104.24 90.00 106.81
Fractional coordinates of all 9 atoms:
Hg: 0.9081 0.8162 0.4092
Hg: 0.6632 0.3263 0.0142
Hg: 0.0919 0.1838 0.5908
Hg: 0.3368 0.6737 0.9858
F: 0.3887 0.7773 0.2353
F: 0.6113 0.2227 0.7647
Br: 0.2953 0.5906 0.6860
Br: 0.7047 0.4094 0.3140
Br: 0.0000 0.0000 0.0000



The following is a PBE calculation of a relaxed structure of Hg2Br2F, from Alexandria via LeMat-Bulk.

Calculated values
The value obtained for the final energy is -18.057 eV per cell. For the density of states at the Fermi level, the calculation gives 0.00 states/eV/atom. As for the raw formation energy: -0.6416 eV per atom. As for the space-group type: P1. As for the relative energy among the computed polymorphs: 78 meV per atom.

abc: 5.8237 6.7415 7.1212
angles: 100.08 90.54 90.38
Fractional coordinates of all 10 atoms:
Br: 0.3816 0.3485 0.6832
Br: 0.8853 0.8843 0.7036
Br: 0.8770 0.0913 0.2985
Br: 0.8787 0.5826 0.0777
F: 0.3830 0.8011 0.9296
F: 0.3672 0.3091 0.1583
Hg: 0.8949 0.2067 0.9496
Hg: 0.3729 0.6540 0.2064
Hg: 0.3815 0.0699 0.3641
Hg: 0.3819 0.7410 0.6061



The following is a PBE calculation of a relaxed structure of HgBr2F, from Alexandria via LeMat-Bulk.

Calculated values
The value obtained for the final energy is -5.988 eV per cell. For the density of states at the Fermi level, the calculation gives 1.67 states/eV/atom. As for the raw formation energy: -0.1174 eV per atom. As for the space-group type: Fm-3m. As for the relative energy among the computed polymorphs: 426 meV per atom.

abc: 4.9208 4.9208 4.9208
angles: 60.00 60.00 60.00
Fractional coordinates of all 4 atoms:
Br: 0.2500 0.2500 0.2500
Br: 0.7500 0.7500 0.7500
F: 0.0000 0.0000 0.0000
Hg: 0.5000 0.5000 0.5000



The following is a PBE calculation of a relaxed structure of Hg5Br12F3, from Alexandria via LeMat-Bulk.

Calculated values
The value obtained for the final energy is -120.992 eV per cell. For the density of states at the Fermi level, the calculation gives 1.10 states/eV/atom. As for the raw formation energy: -0.1525 eV per atom. As for the space-group type: Ia-3d.

abc: 14.6139 14.6139 14.6139
angles: 109.47 109.47 109.47
Fractional coordinates of all 80 atoms:
F: 0.7500 0.3750 0.1250
F: 0.2500 0.6250 0.8750
F: 0.7500 0.8750 0.6250
F: 0.8750 0.7500 0.1250
F: 0.8750 0.1250 0.2500
F: 0.1250 0.2500 0.8750
F: 0.3750 0.7500 0.6250
F: 0.1250 0.8750 0.7500
F: 0.2500 0.1250 0.3750
F: 0.6250 0.3750 0.7500
F: 0.6250 0.2500 0.3750
F: 0.3750 0.6250 0.2500
Br: 0.2753 0.3878 0.8198
Br: 0.3878 0.2753 0.3198
Br: 0.9319 0.1122 0.8875
Br: 0.6125 0.5681 0.8878
Br: 0.7247 0.6122 0.1802
Br: 0.0681 0.1802 0.4556
Br: 0.1122 0.1802 0.2247
Br: 0.2247 0.5444 0.6125
Br: 0.7753 0.3198 0.8878
Br: 0.5444 0.2247 0.1125
Br: 0.5444 0.3198 0.9319
Br: 0.4556 0.7753 0.8875
Br: 0.1802 0.0681 0.9556
Br: 0.3198 0.7753 0.3878
Br: 0.1125 0.3878 0.0681
Br: 0.2247 0.6802 0.1122
Br: 0.1802 0.1122 0.7247
Br: 0.1125 0.7247 0.5444
Br: 0.0444 0.4319 0.8198
Br: 0.3198 0.5444 0.4319
Br: 0.2753 0.8875 0.9556
Br: 0.6802 0.4556 0.5681
Br: 0.5681 0.9556 0.6802
Br: 0.5681 0.6125 0.3878
Br: 0.0444 0.6125 0.7247
Br: 0.0681 0.8878 0.1125
Br: 0.9556 0.5681 0.1802
Br: 0.7247 0.1125 0.0444
Br: 0.6802 0.2247 0.6122
Br: 0.4319 0.0444 0.3198
Br: 0.6122 0.7247 0.6802
Br: 0.4319 0.3875 0.6122
Br: 0.7753 0.4556 0.3875
Br: 0.8875 0.6122 0.9319
Br: 0.8198 0.8878 0.2753
Br: 0.8878 0.8198 0.7753
Br: 0.9556 0.3875 0.2753
Br: 0.3875 0.4319 0.1122
Br: 0.6122 0.8875 0.4319
Br: 0.8878 0.0681 0.6125
Br: 0.1122 0.9319 0.3875
Br: 0.9319 0.8198 0.5444
Br: 0.3878 0.1125 0.5681
Br: 0.4556 0.6802 0.0681
Br: 0.3875 0.9556 0.7753
Br: 0.6125 0.0444 0.2247
Br: 0.8198 0.9319 0.0444
Br: 0.8875 0.2753 0.4556
Hg: 0.5000 0.0000 0.5000
Hg: 0.3750 0.2500 0.1250
Hg: 0.6250 0.8750 0.2500
Hg: 0.0000 0.0000 0.0000
Hg: 0.3750 0.1250 0.7500
Hg: 0.5000 0.5000 0.0000
Hg: 0.0000 0.5000 0.0000
Hg: 0.1250 0.7500 0.3750
Hg: 0.5000 0.5000 0.5000
Hg: 0.2500 0.3750 0.6250
Hg: 0.7500 0.6250 0.3750
Hg: 0.7500 0.1250 0.8750
Hg: 0.8750 0.6250 0.7500
Hg: 0.0000 0.0000 0.5000
Hg: 0.2500 0.8750 0.1250
Hg: 0.1250 0.3750 0.2500
Hg: 0.0000 0.5000 0.5000
Hg: 0.5000 0.0000 0.0000
Hg: 0.8750 0.2500 0.6250
Hg: 0.6250 0.7500 0.8750



The following is a PBE calculation of a relaxed structure of Hg2BrF, from Alexandria via LeMat-Bulk.

Calculated values
The value obtained for the final energy is -14.432 eV per cell. For the density of states at the Fermi level, the calculation gives 0.00 states/eV/atom. As for the raw formation energy: -0.7670 eV per atom. As for the space-group type: P1. As for the relative energy among the computed polymorphs: 14 meV per atom.

abc: 4.0679 7.6186 7.6349
angles: 80.99 77.03 87.51
Fractional coordinates of all 8 atoms:
Hg: 0.0403 0.9562 0.0235
Hg: 0.5381 0.4569 0.5233
Hg: 0.2429 0.1858 0.4423
Hg: 0.8333 0.7278 0.6046
Br: 0.4308 0.2194 0.9679
Br: 0.6513 0.6924 0.0791
F: 0.8925 0.0084 0.3646
F: 0.1840 0.9052 0.6821



The following is a PBE calculation of a relaxed structure of Hg2BrF2, from Alexandria via LeMat-Bulk.

Calculated values
The value obtained for the final energy is -21.980 eV per cell. For the density of states at the Fermi level, the calculation gives 0.00 states/eV/atom. As for the raw formation energy: -0.9942 eV per atom. As for the space-group type: P1. As for the relative energy among the computed polymorphs: 41 meV per atom.

abc: 6.0908 6.4665 7.1775
angles: 83.46 81.41 67.12
Fractional coordinates of all 10 atoms:
Hg: 0.1330 0.5942 0.7211
Hg: 0.3671 0.2284 0.1779
Hg: 0.2602 0.9036 0.8224
Hg: 0.6585 0.6307 0.3325
Br: 0.8335 0.4141 0.6549
Br: 0.7905 0.9965 0.2614
F: 0.3642 0.4840 0.4075
F: 0.0035 0.4317 0.1262
F: 0.3714 0.8534 0.1438
F: 0.3701 0.1893 0.8347



The following is a PBE calculation of a relaxed structure of Hg2BrF, from Alexandria via LeMat-Bulk.

Calculated values
The value obtained for the final energy is -14.546 eV per cell. For the density of states at the Fermi level, the calculation gives 0.00 states/eV/atom. As for the raw formation energy: -0.7813 eV per atom. As for the space-group type: P1. As for the relative energy among the computed polymorphs: 0 meV per atom.

abc: 5.2753 6.2822 8.4213
angles: 74.67 89.68 65.47
Fractional coordinates of all 8 atoms:
Br: 0.2672 0.4687 0.9359
Br: 0.6283 0.7616 0.2514
F: 0.8283 0.3431 0.6978
F: 0.2850 0.4341 0.4884
Hg: 0.6567 0.6963 0.7502
Hg: 0.4403 0.1362 0.7844
Hg: 0.8627 0.2998 0.4016
Hg: 0.0927 0.8310 0.4359



The following is a PBE calculation of a relaxed structure of Hg2Br2F, from Alexandria via LeMat-Bulk.

Calculated values
The value obtained for the final energy is -18.687 eV per cell. For the density of states at the Fermi level, the calculation gives 0.00 states/eV/atom. As for the raw formation energy: -0.7046 eV per atom. As for the space-group type: P1. As for the relative energy among the computed polymorphs: 15 meV per atom.

abc: 7.0213 7.1498 7.5080
angles: 113.21 101.93 97.58
Fractional coordinates of all 10 atoms:
Hg: 0.4863 0.2732 0.4566
Hg: 0.0943 0.7080 0.3833
Hg: 0.9368 0.3106 0.1504
Hg: 0.5038 0.7510 0.9526
Br: 0.5492 0.7967 0.3086
Br: 0.1490 0.1068 0.5610
Br: 0.3490 0.1724 0.0830
Br: 0.7627 0.4546 0.7871
F: 0.7898 0.9915 0.9694
F: 0.3563 0.6314 0.6368